[1]
Material: AcPuSb2
Method: DFT, PBE
State: relaxed

Cell lengths 4.3705, 5.7736, 11.3526 Å; angles 90.00, 90.00, 90.00 degrees
Last column: nearest neighbours and their distance in Å.
Positions (direct):
Sb 0.5000 0.0000 0.8378  2 Pu 3.26, 5 Ac 3.37-3.63
Sb 0.5000 0.0000 0.4295  4 Pu 2.95-3.11
Sb 0.0000 0.5000 0.1622  2 Pu 3.26, 5 Ac 3.37-3.63
Sb 0.0000 0.5000 0.5705  4 Pu 2.95-3.11
Ac 0.5000 0.0000 0.1351  6 Sb 3.34-3.63
Ac 0.0000 0.5000 0.8649  6 Sb 3.34-3.63
Pu 0.5000 0.5000 0.3756  6 Sb 2.95-3.26
Pu 0.0000 0.0000 0.6244  6 Sb 2.95-3.26

Output
Space group: Pmmn
Raw formation energy in meV per atom: -629.1
N(E_F) in states/eV/cell: 30.13

---

[2]
Material: AcPuSb2
Method: DFT, PBE
State: relaxed

Cell lengths 4.6270, 4.6270, 7.9606 Å; angles 73.11, 73.11, 60.00 degrees
Last column: nearest neighbours and their distance in Å.
Positions (direct):
Ac 0.5000 0.5000 0.5000  6 Sb 3.37
Sb 0.7420 0.7420 0.7741  3 Pu 3.16, 3 Ac 3.37
Sb 0.2580 0.2580 0.2259  3 Pu 3.16, 3 Ac 3.37
Pu 0.0000 0.0000 0.0000  6 Sb 3.16

Output
Space group: R-3m
Raw formation energy in meV per atom: -878.8
N(E_F) in states/eV/cell: 15.55

---

[3]
Material: Ac3PuSb4
Method: DFT, PBE
State: relaxed

Cell lengths 6.6935, 6.6935, 6.6935 Å; angles 90.00, 90.00, 90.00 degrees
Last column: nearest neighbours and their distance in Å.
Positions (direct):
Ac 0.5000 0.0000 0.5000  6 Sb 3.35
Ac 0.5000 0.5000 0.0000  6 Sb 3.35
Ac 0.0000 0.5000 0.5000  6 Sb 3.35
Sb 0.0000 0.0000 0.5000  4 Ac 3.35, 2 Pu 3.35
Sb 0.5000 0.0000 0.0000  4 Ac 3.35, 2 Pu 3.35
Sb 0.0000 0.5000 0.0000  4 Ac 3.35, 2 Pu 3.35
Sb 0.5000 0.5000 0.5000  6 Ac 3.35
Pu 0.0000 0.0000 0.0000  6 Sb 3.35

Output
Space group: Pm-3m
Raw formation energy in meV per atom: -1005.0
N(E_F) in states/eV/cell: 21.45

---

Q: The highest raw formation energy belongs to which entry?
A: number 1